Record 1
Density functional theory data (PBE-GGA) for a relaxed BaAl2Mo crystal.

## Properties
Total DFT energy (no corrections), eV per atom: -4.392

abc: 5.4247 5.4247 2.9109
angles: 90.00 90.00 90.00
With the nearest neighbours (Å) after each atom.
Atoms (fractional coordinates):
Mo: 0.0000 0.5000 0.5000  2 Mo 2.91, 8 Al 3.08
Ba: 0.5000 0.0000 0.5000  2 Ba 2.91, 8 Al 3.08
Al: 0.0000 0.0000 0.0000  2 Al 2.91, 4 Mo 3.08, 4 Ba 3.08
Al: 0.5000 0.5000 0.0000  2 Al 2.91, 4 Ba 3.08, 4 Mo 3.08

Record 2
Density functional theory data (PBE-GGA) for a relaxed Ba2AlMo crystal.

## Properties
Total DFT energy (no corrections), eV per atom: -3.717

abc: 3.3090 3.3090 10.6427
angles: 90.00 90.00 90.00
With the nearest neighbours (Å) after each atom.
Atoms (fractional coordinates):
Mo: 0.5000 0.5000 0.2500  4 Mo 3.31, 8 Ba 3.49
Ba: 0.0000 0.0000 0.0064  4 Ba 3.31, 4 Mo 3.49, 4 Al 3.59
Ba: 0.0000 0.0000 0.4936  4 Ba 3.31, 4 Mo 3.49, 4 Al 3.59
Al: 0.5000 0.5000 0.7500  4 Al 3.31, 8 Ba 3.59

Record 3
Density functional theory data (PBE-GGA) for a relaxed BaAl2Mo crystal.

## Properties
Total DFT energy (no corrections), eV per atom: -4.391

abc: 5.4092 5.4092 3.0126
angles: 90.30 90.30 103.77
With the nearest neighbours (Å) after each atom.
Atoms (fractional coordinates):
Mo: 0.0000 0.5000 0.5000  2 Mo 3.01, 8 Al 3.09-3.10, 2 Ba 3.34
Ba: 0.5000 0.0000 0.5000  2 Ba 3.01, 8 Al 3.09-3.10, 2 Mo 3.34
Al: 0.0000 0.0000 0.0000  4 Al 3.01-3.34, 4 Ba 3.09-3.10, 4 Mo 3.09-3.10
Al: 0.5000 0.5000 0.0000  4 Al 3.01-3.34, 4 Mo 3.09-3.10, 4 Ba 3.09-3.10

Record 4
Density functional theory data (PBE-GGA) for a relaxed Ba2AlMo crystal.

## Properties
Total DFT energy (no corrections), eV per atom: -3.837

abc: 5.5873 5.5873 5.5873
angles: 120.04 120.04 89.93
With the nearest neighbours (Å) after each atom.
Atoms (fractional coordinates):
Mo: 0.5000 0.5000 0.0000  4 Ba 3.42, 4 Al 3.42
Ba: 0.0000 0.0000 0.0000  4 Al 3.42, 4 Ba 3.42
Ba: 0.2500 0.7500 0.5000  4 Ba 3.42, 4 Mo 3.42
Al: 0.7500 0.2500 0.5000  4 Mo 3.42, 4 Ba 3.42

Record 5
Density functional theory data (PBE-GGA) for a relaxed BaAl2Mo crystal.

## Properties
Total DFT energy (no corrections), eV per atom: -4.770

abc: 4.7338 4.7338 7.0328
angles: 83.68 83.68 37.24
With the nearest neighbours (Å) after each atom.
Atoms (fractional coordinates):
Mo: 0.2500 0.2500 0.2500  6 Al 2.72-2.74, 2 Mo 3.02
Ba: 0.7500 0.7500 0.7500  2 Ba 3.02, 2 Al 3.37
Al: 0.9848 0.9848 0.0913  3 Mo 2.72-2.74, 4 Al 2.73-3.02
Al: 0.5152 0.5152 0.4087  3 Mo 2.72-2.74, 4 Al 2.73-3.02

Record 6
Density functional theory data (PBE-GGA) for a relaxed Ba2AlMo crystal.

## Properties
Total DFT energy (no corrections), eV per atom: -3.796

abc: 9.0881 5.6723 4.2701
angles: 90.02 61.95 128.62
With the nearest neighbours (Å) after each atom.
Atoms (fractional coordinates):
Mo: 0.0000 0.5000 0.5000  8 Ba 3.55
Ba: 0.0000 0.0000 0.0000  4 Al 3.55, 4 Mo 3.55
Ba: 0.5000 0.0000 0.5000  4 Mo 3.55, 4 Al 3.55
Al: 0.5000 0.5000 0.0000  8 Ba 3.55

Record 7
Density functional theory data (PBE-GGA) for a relaxed Ba2AlMo crystal.

## Properties
Total DFT energy (no corrections), eV per atom: -3.917

abc: 11.7029 11.7029 8.6522
angles: 47.45 47.45 90.00
With the nearest neighbours (Å) after each atom.
Atoms (fractional coordinates):
Mo: 0.0000 0.0000 0.0000  2 Al 2.53
Mo: 0.7500 0.2500 0.5000  2 Al 2.53
Ba: 0.8407 0.1250 0.2500  2 Mo 3.02
Ba: 0.9093 0.6250 0.2500  2 Mo 3.02
Ba: 0.3750 0.1593 0.7500  2 Mo 3.02
Ba: 0.8750 0.0907 0.7500  2 Mo 3.02
Al: 0.5000 0.5000 0.0000  2 Mo 2.53
Al: 0.2500 0.7500 0.5000  2 Mo 2.53

Record 8
Density functional theory data (PBE-GGA) for a relaxed BaAl2Mo crystal.

## Properties
Total DFT energy (no corrections), eV per atom: -4.694

abc: 3.5648 3.5648 7.7734
angles: 90.00 90.00 90.00
With the nearest neighbours (Å) after each atom.
Atoms (fractional coordinates):
Mo: 0.5000 0.5000 0.8543  5 Al 2.50-2.62
Ba: 0.0000 0.0000 0.5233  1 Al 3.29, 4 Ba 3.56, 4 Mo 3.60
Al: 0.0000 0.0000 0.9462  4 Mo 2.62
Al: 0.5000 0.5000 0.1762  1 Mo 2.50

The records above yield magnetization values of 0.16, 0.00, 0.00, 4.42, 0.00, 3.65, 0.00, 0.00 μB/cell, respectively.